# GGA+U VBiIr2F, relaxed
data_VBiIr2F
_cell_length_a 4.7152
_cell_length_b 4.7152
_cell_length_c 3.8500
_cell_angle_alpha 90.00
_cell_angle_beta 90.00
_cell_angle_gamma 90.00
_space_group_name_H-M_alt 'P 4/m m m'
_space_group_IT_number 123
_space_group_name_Hall '-P 4 2'
loop_
_atom_site_label
_atom_site_fract_x
_atom_site_fract_y
_atom_site_fract_z
_atom_site_occupancy
V1 0.0000 0.0000 0.0000 1
Bi1 0.5000 0.5000 0.0000 1
Ir1 0.0000 0.5000 0.5000 1
F1 0.0000 0.0000 0.5000 1
# DOS at the Fermi energy = 0.8547 states/eV/atom
# magnetization = 0.139 μB/atom
# E = -26.68 eV/f.u.